# 1
First-principles (meta-GGA SCAN) data for a crystal of CaB2O4 relaxed with PBEsol, as listed in Alexandria via LeMat-Bulk.

Summary:
The mass density comes out at 3.067 g cm⁻³. Its space group is No. 33. For the final energy, the calculation gives -10.02 eV/atom. The energy above the most stable polymorph in this dataset is 0.012 eV per atom.

a = 6.3719 Å, b = 11.2832 Å, c = 11.3574 Å
α = 90.00°, β = 90.00°, γ = 90.00°
Closest atoms and distances in Å follow each position.
Positions (direct):
O: 0.3637 0.9465 0.9570  2 B 1.38-1.54
B: 0.6244 0.7486 0.5246  3 O 1.35-1.44
B: 0.0197 0.4781 0.4644  3 O 1.36-1.38
B: 0.1196 0.7405 0.2125  4 O 1.45-1.51
B: 0.0822 0.0511 0.7513  4 O 1.45-1.52
Ca: 0.6608 0.2345 0.0330  7 O 2.29-2.52
B: 0.5986 0.4440 0.1772  4 O 1.45-1.54
O: 0.9683 0.6732 0.2829  2 B 1.47
B: 0.2493 0.5386 0.6384  4 O 1.45-1.55
B: 0.8804 0.2405 0.7875  4 O 1.45-1.51
O: 0.0212 0.7996 0.1070  2 B 1.44-1.51
O: 0.7042 0.3332 0.2123  2 B 1.45-1.47
O: 0.7019 0.0296 0.9955  1 B 1.38
O: 0.5305 0.7005 0.4272  1 B 1.37
O: 0.1682 0.2574 0.4546  1 B 1.35
O: 0.2958 0.8332 0.7877  2 B 1.45-1.47
O: 0.6273 0.9476 0.8005  2 B 1.46
O: 0.5233 0.4664 0.8477  2 B 1.36-1.52
Ca: 0.3392 0.7345 0.9670  7 O 2.29-2.52
O: 0.4788 0.7996 0.6070  2 B 1.44-1.51
Ca: 0.9464 0.5018 0.9281  6 O 2.25-2.50
O: 0.8082 0.5458 0.7346  2 B 1.45
O: 0.9767 0.4664 0.3477  2 B 1.36-1.52
O: 0.3318 0.2574 0.9546  1 B 1.35
O: 0.5317 0.6732 0.7829  2 B 1.47
Ca: 0.1608 0.7345 0.4670  7 O 2.29-2.52
O: 0.7958 0.3332 0.7123  2 B 1.45-1.47
B: 0.9803 0.9781 0.5356  3 O 1.36-1.38
O: 0.7981 0.0296 0.4955  1 B 1.38
B: 0.4014 0.9440 0.8228  4 O 1.45-1.54
O: 0.4767 0.9664 0.1523  2 B 1.36-1.52
O: 0.7946 0.1634 0.3275  2 B 1.49
B: 0.3756 0.2486 0.4754  3 O 1.35-1.44
O: 0.5283 0.0124 0.3569  2 B 1.45-1.46
O: 0.4683 0.1732 0.2171  2 B 1.47
Ca: 0.6123 0.7787 0.2464  4 O 2.30-2.55
O: 0.5212 0.2996 0.3930  2 B 1.44-1.51
O: 0.6682 0.7574 0.0454  1 B 1.35
B: 0.7493 0.0386 0.8616  4 O 1.45-1.55
O: 0.2042 0.8332 0.2877  2 B 1.45-1.47
O: 0.9788 0.2996 0.8930  2 B 1.44-1.51
O: 0.0317 0.1732 0.7171  2 B 1.47
Ca: 0.5536 0.5018 0.4281  6 O 2.25-2.50
B: 0.3804 0.7405 0.7125  4 O 1.45-1.51
O: 0.0305 0.2005 0.0728  1 B 1.37
O: 0.2019 0.5296 0.5045  1 B 1.38
B: 0.6196 0.2405 0.2875  4 O 1.45-1.51
O: 0.1273 0.4476 0.6995  2 B 1.46
O: 0.8318 0.7574 0.5454  1 B 1.35
B: 0.7507 0.0386 0.3616  4 O 1.45-1.55
O: 0.1363 0.9465 0.4570  2 B 1.38-1.54
O: 0.4717 0.5124 0.6431  2 B 1.45-1.46
Ca: 0.1123 0.2787 0.2536  4 O 2.30-2.55
O: 0.6363 0.4465 0.0430  2 B 1.38-1.54
B: 0.0986 0.9440 0.3228  4 O 1.45-1.54
O: 0.8637 0.4465 0.5430  2 B 1.38-1.54
O: 0.4695 0.2005 0.5728  1 B 1.37
O: 0.2981 0.5296 0.0045  1 B 1.38
B: 0.1244 0.2486 0.9754  3 O 1.35-1.44
Ca: 0.0536 0.0018 0.0719  6 O 2.25-2.50
B: 0.8756 0.7486 0.0246  3 O 1.35-1.44
B: 0.5822 0.5511 0.7487  4 O 1.45-1.52
B: 0.5197 0.9781 0.0356  3 O 1.36-1.38
O: 0.2946 0.6634 0.1725  2 B 1.49
O: 0.0233 0.9664 0.6523  2 B 1.36-1.52
Ca: 0.8392 0.2345 0.5330  7 O 2.29-2.52
O: 0.6918 0.5458 0.2346  2 B 1.45
O: 0.7054 0.1634 0.8275  2 B 1.49
B: 0.9014 0.4440 0.6772  4 O 1.45-1.54
B: 0.2507 0.5386 0.1384  4 O 1.45-1.55
Ca: 0.3877 0.2787 0.7536  4 O 2.30-2.55
O: 0.9717 0.0124 0.8569  2 B 1.45-1.46
B: 0.4803 0.4781 0.9644  3 O 1.36-1.38
B: 0.4178 0.0511 0.2513  4 O 1.45-1.52
B: 0.9178 0.5511 0.2487  4 O 1.45-1.52
Ca: 0.8877 0.7787 0.7464  4 O 2.30-2.55
O: 0.3727 0.4476 0.1995  2 B 1.46
Ca: 0.4464 0.0018 0.5719  6 O 2.25-2.50
O: 0.3082 0.0458 0.7654  2 B 1.45
O: 0.8727 0.9476 0.3005  2 B 1.46
O: 0.1918 0.0458 0.2654  2 B 1.45
O: 0.9695 0.7005 0.9272  1 B 1.37
O: 0.0283 0.5124 0.1431  2 B 1.45-1.46
O: 0.2054 0.6634 0.6725  2 B 1.49

***

# 2
First-principles (meta-GGA SCAN) data for a crystal of CaSiBO5 relaxed with PBEsol, as listed in Alexandria via LeMat-Bulk.

Summary:
The mass density comes out at 2.973 g cm⁻³. Its space group is No. 14. For the final energy, the calculation gives -10.08 eV/atom.

a = 4.8987 Å, b = 7.6248 Å, c = 9.5131 Å
α = 90.00°, β = 91.44°, γ = 90.00°
Closest atoms and distances in Å follow each position.
Positions (direct):
O: 0.2651 0.6038 0.2999  1 B 1.47
O: 0.7660 0.1017 0.4523  1 Si 1.62
Ca: 0.0022 0.3856 0.1725  8 O 2.34-2.60
Si: 0.4728 0.7576 0.5842  4 O 1.62-1.66
O: 0.7014 0.6645 0.1996  1 B 1.50, 1 Si 1.66
O: 0.3329 0.5807 0.6492  1 B 1.46
O: 0.7660 0.3983 0.9523  1 Si 1.62
O: 0.7014 0.8355 0.6996  1 B 1.50, 1 Si 1.66
O: 0.2986 0.1645 0.3004  1 B 1.50, 1 Si 1.66
B: 0.4387 0.0960 0.1736  4 O 1.46-1.50
O: 0.2340 0.8983 0.5477  1 Si 1.62
O: 0.2651 0.8962 0.7999  1 B 1.47
B: 0.4387 0.4040 0.6736  4 O 1.46-1.50
Si: 0.4728 0.7424 0.0842  4 O 1.62-1.66
O: 0.3555 0.2122 0.0568  1 B 1.47, 1 Si 1.64
O: 0.3329 0.9193 0.1492  1 B 1.46
O: 0.6671 0.0807 0.8508  1 B 1.46
O: 0.6445 0.7878 0.9432  1 B 1.47, 1 Si 1.64
O: 0.7349 0.1038 0.2001  1 B 1.47
O: 0.7349 0.3962 0.7001  1 B 1.47
O: 0.6671 0.4193 0.3508  1 B 1.46
B: 0.5613 0.9040 0.8264  4 O 1.46-1.50
Si: 0.5272 0.2576 0.9158  4 O 1.62-1.66
Ca: 0.9978 0.6144 0.8275  8 O 2.34-2.60
Ca: 0.9978 0.8856 0.3275  8 O 2.34-2.60
B: 0.5613 0.5960 0.3264  4 O 1.46-1.50
Ca: 0.0022 0.1144 0.6725  8 O 2.34-2.60
O: 0.2986 0.3355 0.8004  1 B 1.50, 1 Si 1.66
Si: 0.5272 0.2424 0.4158  4 O 1.62-1.66
O: 0.3555 0.2878 0.5568  1 B 1.47, 1 Si 1.64
O: 0.2340 0.6017 0.0477  1 Si 1.62
O: 0.6445 0.7122 0.4432  1 B 1.47, 1 Si 1.64

***

# 3
First-principles (meta-GGA SCAN) data for a crystal of Ca2B5Os3 relaxed with PBEsol, as listed in Alexandria via LeMat-Bulk.

Summary:
The mass density comes out at 8.470 g cm⁻³. Its space group is No. 5. For the final energy, the calculation gives -27.64 eV/atom. Its formation enthalpy at 0 K is -4.276 eV per formula unit.

a = 4.0355 Å, b = 5.5807 Å, c = 6.9162 Å
α = 78.74°, β = 73.04°, γ = 68.80°
Closest atoms and distances in Å follow each position.
Positions (direct):
B: 0.4674 0.4325 0.6191  2 B 1.66-1.73
B: 0.5190 0.5675 0.3809  2 B 1.66-1.73
Os: 0.1210 0.3655 0.9020  4 B 1.95-2.13
B: 0.9181 0.5170 0.1900  1 B 1.73
Os: 0.9883 0.5000 0.5000  6 B 2.16-2.22
Ca: 0.9297 0.9410 0.7391  5 B 2.68-2.98
B: 0.6251 0.4830 0.8100  1 B 1.73
Ca: 0.6099 0.0590 0.2609  5 B 2.68-2.98
B: 0.2668 0.0000 0.0000  2 Os 1.95
Os: 0.3885 0.6345 0.0980  4 B 1.95-2.13

***

# 4
First-principles (meta-GGA SCAN) data for a crystal of CaB2Pb relaxed with PBEsol, as listed in Alexandria via LeMat-Bulk.

Summary:
The mass density comes out at 5.566 g cm⁻³. Its space group is No. 122. For the final energy, the calculation gives -24.03 eV/atom. Its formation enthalpy at 0 K is 4.171 eV per formula unit.

a = 4.6550 Å, b = 4.6550 Å, c = 8.1036 Å
α = 106.69°, β = 106.69°, γ = 90.00°
Closest atoms and distances in Å follow each position.
Positions (direct):
Ca: 0.7500 0.2500 0.5000  4 B 2.71
B: 0.1250 0.0305 0.7500  2 Pb 2.30
Pb: 0.2500 0.7500 0.5000  4 B 2.30
Pb: 0.0000 0.0000 0.0000  4 B 2.30
B: 0.6250 0.7195 0.7500  2 Pb 2.30
B: 0.9695 0.3750 0.2500  2 Pb 2.30
B: 0.2805 0.8750 0.2500  2 Pb 2.30
Ca: 0.5000 0.5000 0.0000  4 B 2.71

***

# 5
First-principles (meta-GGA SCAN) data for a crystal of CaBPt3 relaxed with PBEsol, as listed in Alexandria via LeMat-Bulk.

Summary:
The mass density comes out at 13.877 g cm⁻³. Its space group is No. 187. For the final energy, the calculation gives -46.42 eV/atom. Its formation enthalpy at 0 K is -4.407 eV per formula unit.

a = 2.9797 Å, b = 5.4312 Å, c = 5.4312 Å
α = 120.00°, β = 90.00°, γ = 90.00°
Closest atoms and distances in Å follow each position.
Positions (direct):
Pt: 0.5000 0.8366 0.6732  2 B 2.19
B: 0.0000 0.6667 0.3333  6 Pt 2.19
Pt: 0.5000 0.3268 0.1634  2 B 2.19
Ca: 0.0000 0.3333 0.6667  2 Ca 2.98, 12 Pt 3.10, 3 B 3.14
Pt: 0.5000 0.8366 0.1634  2 B 2.19

***

# 6
First-principles (meta-GGA SCAN) data for a crystal of CaBPt3 relaxed with PBEsol, as listed in Alexandria via LeMat-Bulk.

Summary:
The mass density comes out at 13.632 g cm⁻³. Its space group is No. 166. For the final energy, the calculation gives -46.24 eV/atom. Its formation enthalpy at 0 K is -3.552 eV per formula unit.

a = 4.2789 Å, b = 4.2789 Å, c = 4.2789 Å
α = 84.98°, β = 84.98°, γ = 84.98°
Closest atoms and distances in Å follow each position.
Positions (direct):
B: 0.5751 0.5751 0.5751  6 Pt 2.14
Pt: 0.5750 0.0750 0.5750  2 B 2.14
Pt: 0.5750 0.5750 0.0750  2 B 2.14
Ca: 0.0749 0.0749 0.0749  12 Pt 2.89-3.16
Pt: 0.0750 0.5750 0.5750  2 B 2.14

***

# 7
First-principles (meta-GGA SCAN) data for a crystal of CaBPt2Se relaxed with PBEsol, as listed in Alexandria via LeMat-Bulk.

Summary:
The mass density comes out at 8.982 g cm⁻³. Its space group is No. 123. For the final energy, the calculation gives -35.12 eV/atom.

a = 4.1542 Å, b = 4.8106 Å, c = 4.8106 Å
α = 90.00°, β = 90.00°, γ = 90.00°
Closest atoms and distances in Å follow each position.
Positions (direct):
Ca: 0.5000 0.5000 0.5000  8 Pt 3.18, 4 B 3.40
Pt: 0.0000 0.5000 0.0000  2 Se 2.41
Pt: 0.0000 0.0000 0.5000  2 Se 2.41
Se: 0.0000 0.0000 0.0000  2 B 2.08
B: 0.5000 0.0000 0.0000  2 Se 2.08

***

# 8
First-principles (meta-GGA SCAN) data for a crystal of RbCa3B relaxed with PBEsol, as listed in Alexandria via LeMat-Bulk.

Summary:
The mass density comes out at 2.081 g cm⁻³. Its space group is No. 221. For the final energy, the calculation gives -11.08 eV/atom. Its formation enthalpy at 0 K is 1.741 eV per formula unit.

a = 5.5700 Å, b = 5.5700 Å, c = 5.5700 Å
α = 90.00°, β = 90.00°, γ = 90.00°
Closest atoms and distances in Å follow each position.
Positions (direct):
Ca: 0.5000 0.0000 0.0000  2 B 2.78
Ca: 0.0000 0.5000 0.0000  2 B 2.78
Ca: 0.0000 0.0000 0.5000  2 B 2.78
Rb: 0.5000 0.5000 0.5000  12 Ca 3.94
B: 0.0000 0.0000 0.0000  6 Ca 2.78